1) # MoOsSeBr2 | Alexandria | GGA-PBE | optimized geometry
# - space-group type = No. 123
# - density of states at the Fermi level (states/eV/cell) = 3.85
# - theoretical density (kg/m³) = 6679
data_MoOsSeBr2
_cell_length_a 5.312
_cell_length_b 5.312
_cell_length_c 4.626
_cell_angle_alpha 90.00
_cell_angle_beta 90.00
_cell_angle_gamma 90.00
_space_group_name_H-M_alt 'P 1'
_space_group_IT_number 1
_space_group_name_Hall 'P 1'
loop_
_atom_site_label
_atom_site_fract_x
_atom_site_fract_y
_atom_site_fract_z
Mo1 0.500 0.500 0.500
Os1 0.000 0.000 0.000
Se1 0.000 0.000 0.500
Br1 0.000 0.500 0.000
Br2 0.500 0.000 0.000

---

2) # MoOsSeBr2 | Alexandria | GGA-PBE | optimized geometry
# - space-group type = No. 123
# - density of states at the Fermi level (states/eV/cell) = 6.21
# - theoretical density (kg/m³) = 6584
data_MoOsSeBr2
_cell_length_a 5.222
_cell_length_b 5.222
_cell_length_c 4.854
_cell_angle_alpha 90.00
_cell_angle_beta 90.00
_cell_angle_gamma 90.00
_space_group_name_H-M_alt 'P 1'
_space_group_IT_number 1
_space_group_name_Hall 'P 1'
loop_
_atom_site_label
_atom_site_fract_x
_atom_site_fract_y
_atom_site_fract_z
Mo1 0.000 0.000 0.000
Os1 0.500 0.500 0.500
Se1 0.000 0.000 0.500
Br1 0.000 0.500 0.000
Br2 0.500 0.000 0.000

---

Energies, relative to the best one, in meV per atom: 1) 0; 2) 246.

---

1) # MoP3Br | Alexandria | GGA-PBE | optimized geometry
# - space-group type = No. 221
# - density of states at the Fermi level (states/eV/cell) = 3.86
# - theoretical density (kg/m³) = 4263
data_MoP3Br
_cell_length_a 4.713
_cell_length_b 4.713
_cell_length_c 4.713
_cell_angle_alpha 90.00
_cell_angle_beta 90.00
_cell_angle_gamma 90.00
_space_group_name_H-M_alt 'P 1'
_space_group_IT_number 1
_space_group_name_Hall 'P 1'
loop_
_atom_site_label
_atom_site_fract_x
_atom_site_fract_y
_atom_site_fract_z
P1 0.000 0.500 0.000
P2 0.000 0.000 0.500
P3 0.500 0.000 0.000
Mo1 0.000 0.000 0.000
Br1 0.500 0.500 0.500

---

2) # MoP3Br | Alexandria | GGA-PBE | optimized geometry
# - space-group type = No. 221
# - density of states at the Fermi level (states/eV/cell) = 1.73
# - theoretical density (kg/m³) = 4309
data_MoP3Br
_cell_length_a 4.696
_cell_length_b 4.696
_cell_length_c 4.696
_cell_angle_alpha 90.00
_cell_angle_beta 90.00
_cell_angle_gamma 90.00
_space_group_name_H-M_alt 'P 1'
_space_group_IT_number 1
_space_group_name_Hall 'P 1'
loop_
_atom_site_label
_atom_site_fract_x
_atom_site_fract_y
_atom_site_fract_z
P1 0.000 0.500 0.000
P2 0.000 0.000 0.500
P3 0.500 0.000 0.000
Mo1 0.500 0.500 0.500
Br1 0.000 0.000 0.000

---

Energies, relative to the best one, in meV per atom: 1) 0; 2) 1370.

---

1) # MoPBr3 | Alexandria | GGA-PBE | optimized geometry
# - space-group type = No. 221
# - density of states at the Fermi level (states/eV/cell) = 1.57
# - theoretical density (kg/m³) = 4400
data_MoPBr3
_cell_length_a 5.172
_cell_length_b 5.172
_cell_length_c 5.172
_cell_angle_alpha 90.00
_cell_angle_beta 90.00
_cell_angle_gamma 90.00
_space_group_name_H-M_alt 'P 1'
_space_group_IT_number 1
_space_group_name_Hall 'P 1'
loop_
_atom_site_label
_atom_site_fract_x
_atom_site_fract_y
_atom_site_fract_z
P1 0.000 0.000 0.000
Mo1 0.500 0.500 0.500
Br1 0.000 0.500 0.000
Br2 0.000 0.000 0.500
Br3 0.500 0.000 0.000

---

2) # MoPBr3 | Alexandria | GGA-PBE | optimized geometry
# - space-group type = No. 221
# - density of states at the Fermi level (states/eV/cell) = 6.81
# - theoretical density (kg/m³) = 4738
data_MoPBr3
_cell_length_a 5.046
_cell_length_b 5.046
_cell_length_c 5.046
_cell_angle_alpha 90.00
_cell_angle_beta 90.00
_cell_angle_gamma 90.00
_space_group_name_H-M_alt 'P 1'
_space_group_IT_number 1
_space_group_name_Hall 'P 1'
loop_
_atom_site_label
_atom_site_fract_x
_atom_site_fract_y
_atom_site_fract_z
P1 0.500 0.500 0.500
Mo1 0.000 0.000 0.000
Br1 0.000 0.500 0.000
Br2 0.000 0.000 0.500
Br3 0.500 0.000 0.000

---

Energies, relative to the best one, in meV per atom: 1) 54; 2) 0.

---

1) # MoPb3Br | Alexandria | GGA-PBE | optimized geometry
# - space-group type = No. 221
# - density of states at the Fermi level (states/eV/cell) = 3.77
# - theoretical density (kg/m³) = 7305
data_MoPb3Br
_cell_length_a 5.659
_cell_length_b 5.659
_cell_length_c 5.659
_cell_angle_alpha 90.00
_cell_angle_beta 90.00
_cell_angle_gamma 90.00
_space_group_name_H-M_alt 'P 1'
_space_group_IT_number 1
_space_group_name_Hall 'P 1'
loop_
_atom_site_label
_atom_site_fract_x
_atom_site_fract_y
_atom_site_fract_z
Pb1 0.000 0.500 0.000
Pb2 0.000 0.000 0.500
Pb3 0.500 0.000 0.000
Mo1 0.500 0.500 0.500
Br1 0.000 0.000 0.000

---

2) # MoPb3Br | Alexandria | GGA-PBE | optimized geometry
# - space-group type = No. 221
# - density of states at the Fermi level (states/eV/cell) = 2.67
# - theoretical density (kg/m³) = 8362
data_MoPb3Br
_cell_length_a 5.410
_cell_length_b 5.410
_cell_length_c 5.410
_cell_angle_alpha 90.00
_cell_angle_beta 90.00
_cell_angle_gamma 90.00
_space_group_name_H-M_alt 'P 1'
_space_group_IT_number 1
_space_group_name_Hall 'P 1'
loop_
_atom_site_label
_atom_site_fract_x
_atom_site_fract_y
_atom_site_fract_z
Pb1 0.000 0.500 0.000
Pb2 0.000 0.000 0.500
Pb3 0.500 0.000 0.000
Mo1 0.000 0.000 0.000
Br1 0.500 0.500 0.500

---

Energies, relative to the best one, in meV per atom: 1) 1060; 2) 0.

---

1) # MoPbBr | Alexandria | GGA-PBE | optimized geometry
# - space-group type = No. 187
# - density of states at the Fermi level (states/eV/cell) = 2.51
# - theoretical density (kg/m³) = 9771
data_MoPbBr
_cell_length_a 4.752
_cell_length_b 4.752
_cell_length_c 3.328
_cell_angle_alpha 90.00
_cell_angle_beta 90.00
_cell_angle_gamma 120.00
_space_group_name_H-M_alt 'P 1'
_space_group_IT_number 1
_space_group_name_Hall 'P 1'
loop_
_atom_site_label
_atom_site_fract_x
_atom_site_fract_y
_atom_site_fract_z
Pb1 0.333 0.667 0.667
Mo1 0.667 0.333 0.167
Br1 0.000 0.000 0.167

---

2) # MoPbBr | Alexandria | GGA-PBE | optimized geometry
# - space-group type = No. 216
# - density of states at the Fermi level (states/eV/cell) = 2.71
# - theoretical density (kg/m³) = 8099
data_MoPbBr
_cell_length_a 4.807
_cell_length_b 4.807
_cell_length_c 4.807
_cell_angle_alpha 60.00
_cell_angle_beta 60.00
_cell_angle_gamma 60.00
_space_group_name_H-M_alt 'P 1'
_space_group_IT_number 1
_space_group_name_Hall 'P 1'
loop_
_atom_site_label
_atom_site_fract_x
_atom_site_fract_y
_atom_site_fract_z
Pb1 0.000 0.000 0.000
Mo1 0.750 0.750 0.750
Br1 0.500 0.500 0.500

---

Energies, relative to the best one, in meV per atom: 1) 0; 2) 169.

---

1) # MoPbBr | Alexandria | GGA-PBE | optimized geometry
# - space-group type = No. 42
# - density of states at the Fermi level (states/eV/cell) = 1.53
# - theoretical density (kg/m³) = 8398
data_MoPbBr
_cell_length_a 8.665
_cell_length_b 8.349
_cell_length_c 3.271
_cell_angle_alpha 84.41
_cell_angle_beta 73.52
_cell_angle_gamma 22.07
_space_group_name_H-M_alt 'P 1'
_space_group_IT_number 1
_space_group_name_Hall 'P 1'
loop_
_atom_site_label
_atom_site_fract_x
_atom_site_fract_y
_atom_site_fract_z
Pb1 0.692 0.692 0.308
Mo1 0.344 0.344 0.656
Br1 0.964 0.964 0.036

---

2) # MoPbBr | Alexandria | GGA-PBE | optimized geometry
# - space-group type = No. 156
# - density of states at the Fermi level (states/eV/cell) = 2.97
# - theoretical density (kg/m³) = 8468
data_MoPbBr
_cell_length_a 3.294
_cell_length_b 3.294
_cell_length_c 7.992
_cell_angle_alpha 90.00
_cell_angle_beta 90.00
_cell_angle_gamma 120.00
_space_group_name_H-M_alt 'P 1'
_space_group_IT_number 1
_space_group_name_Hall 'P 1'
loop_
_atom_site_label
_atom_site_fract_x
_atom_site_fract_y
_atom_site_fract_z
Pb1 0.333 0.667 0.607
Mo1 0.667 0.333 0.303
Br1 0.000 0.000 0.089

---

Energies, relative to the best one, in meV per atom: 1) 215; 2) 0.

---

1) # Mo2PtBr | Alexandria | GGA-PBE | optimized geometry
# - space-group type = No. 38
# - density of states at the Fermi level (states/eV/cell) = 2.99
# - theoretical density (kg/m³) = 11632
data_Mo2PtBr
_cell_length_a 4.448
_cell_length_b 2.836
_cell_length_c 5.470
_cell_angle_alpha 74.98
_cell_angle_beta 90.00
_cell_angle_gamma 90.00
_space_group_name_H-M_alt 'P 1'
_space_group_IT_number 1
_space_group_name_Hall 'P 1'
loop_
_atom_site_label
_atom_site_fract_x
_atom_site_fract_y
_atom_site_fract_z
Mo1 0.000 0.822 0.980
Mo2 0.500 0.174 0.276
Br1 0.500 0.931 0.764
Pt1 0.000 0.573 0.480

---

2) # Mo2PtBr | Alexandria | GGA-PBE | optimized geometry
# - space-group type = No. 123
# - density of states at the Fermi level (states/eV/cell) = 2.83
# - theoretical density (kg/m³) = 11449
data_Mo2PtBr
_cell_length_a 4.586
_cell_length_b 3.843
_cell_length_c 3.843
_cell_angle_alpha 90.00
_cell_angle_beta 90.00
_cell_angle_gamma 90.00
_space_group_name_H-M_alt 'P 1'
_space_group_IT_number 1
_space_group_name_Hall 'P 1'
loop_
_atom_site_label
_atom_site_fract_x
_atom_site_fract_y
_atom_site_fract_z
Mo1 0.000 0.000 0.000
Mo2 0.000 0.500 0.500
Br1 0.500 0.000 0.500
Pt1 0.500 0.500 0.000

---

Energies, relative to the best one, in meV per atom: 1) 0; 2) 422.

---

1) # MoPtBr | Alexandria | GGA-PBE | optimized geometry
# - space-group type = No. 216
# - density of states at the Fermi level (states/eV/cell) = 3.46
# - theoretical density (kg/m³) = 10428
data_MoPtBr
_cell_length_a 4.371
_cell_length_b 4.371
_cell_length_c 4.371
_cell_angle_alpha 60.00
_cell_angle_beta 60.00
_cell_angle_gamma 60.00
_space_group_name_H-M_alt 'P 1'
_space_group_IT_number 1
_space_group_name_Hall 'P 1'
loop_
_atom_site_label
_atom_site_fract_x
_atom_site_fract_y
_atom_site_fract_z
Mo1 0.750 0.750 0.750
Br1 0.500 0.500 0.500
Pt1 0.000 0.000 0.000

---

2) # MoPtBr | Alexandria | GGA-PBE | optimized geometry
# - space-group type = No. 216
# - density of states at the Fermi level (states/eV/cell) = 4.73
# - theoretical density (kg/m³) = 9418
data_MoPtBr
_cell_length_a 4.522
_cell_length_b 4.522
_cell_length_c 4.522
_cell_angle_alpha 60.00
_cell_angle_beta 60.00
_cell_angle_gamma 60.00
_space_group_name_H-M_alt 'P 1'
_space_group_IT_number 1
_space_group_name_Hall 'P 1'
loop_
_atom_site_label
_atom_site_fract_x
_atom_site_fract_y
_atom_site_fract_z
Mo1 0.500 0.500 0.500
Br1 0.000 0.000 0.000
Pt1 0.750 0.750 0.750

---

Energies, relative to the best one, in meV per atom: 1) 0; 2) 572.